1.
# SrTaBe2 (PBEsol, relaxed)
data_SrTaBe2
_chemical_formula_sum 'Sr1 Ta1 Be2'
_cell_length_a 5.2925
_cell_length_b 5.2925
_cell_length_c 5.2925
_cell_angle_alpha 136.98
_cell_angle_beta 136.98
_cell_angle_gamma 62.47
_symmetry_space_group_name_H-M 'P 1'
_symmetry_Int_Tables_number 1
loop_
_symmetry_equiv_pos_as_xyz
'x,y,z'
loop_
_atom_site_label
_atom_site_fract_x
_atom_site_fract_y
_atom_site_fract_z
Sr1 0.0000 0.0000 0.0000
Ta1 0.7500 0.2500 0.5000
Be1 0.2500 0.7500 0.5000
Be2 0.5000 0.5000 0.0000
# Energy   -4.5084 eV/atom
# Space group   I-4m2, No. 119
# DFT formation energy   1.089 eV/atom

2.
# TaCoNi2 (PBEsol, relaxed)
data_TaCoNi2
_chemical_formula_sum 'Ta1 Co1 Ni2'
_cell_length_a 4.4997
_cell_length_b 4.4997
_cell_length_c 4.4997
_cell_angle_alpha 133.47
_cell_angle_beta 133.47
_cell_angle_gamma 67.92
_symmetry_space_group_name_H-M 'P 1'
_symmetry_Int_Tables_number 1
loop_
_symmetry_equiv_pos_as_xyz
'x,y,z'
loop_
_atom_site_label
_atom_site_fract_x
_atom_site_fract_y
_atom_site_fract_z
Ta1 0.0000 0.0000 0.0000
Co1 0.5000 0.5000 0.0000
Ni1 0.2500 0.7500 0.5000
Ni2 0.7500 0.2500 0.5000
# Energy   -8.4617 eV/atom
# Space group   I4/mmm, No. 139
# DFT formation energy   -0.311 eV/atom

3.
# ZrPb2O2 (PBEsol, relaxed)
data_ZrPb2O2
_chemical_formula_sum 'Zr1 Pb2 O2'
_cell_length_a 5.6883
_cell_length_b 5.6883
_cell_length_c 3.9259
_cell_angle_alpha 90.00
_cell_angle_beta 90.00
_cell_angle_gamma 90.00
_symmetry_space_group_name_H-M 'P 1'
_symmetry_Int_Tables_number 1
loop_
_symmetry_equiv_pos_as_xyz
'x,y,z'
loop_
_atom_site_label
_atom_site_fract_x
_atom_site_fract_y
_atom_site_fract_z
Zr1 0.0000 0.0000 0.0000
Pb1 0.0000 0.5000 0.0000
Pb2 0.5000 0.0000 0.0000
O1 0.0000 0.0000 0.5000
O2 0.5000 0.5000 0.5000
# ΔE_f (raw)   -0.8 eV/f.u.
# Energy   -5.6699 eV/atom
# Space group   P4/mmm, No. 123

Number 1: total moment 0.00 μB/f.u.. Number 2: total moment 0.30 μB/f.u.. Number 3: total moment 0.58 μB/f.u..